Entry 1:
Below is crystalline Sr2NpNbN4 at its relaxed geometry, with properties calculated at the PBE level.

Lattice parameters (Å, degrees): 5.8494 3.4171 6.2154 90.00 107.89 90.00
Closest atoms and distances in Å follow each position.
Space group P2/m (No. 10)
Asymmetric unit:
Sr  0.0000  0.0000  0.0000  6 N 2.67-2.69
Sr  0.5000  0.5000  0.0000  6 N 2.63-2.65
Np  0.0000  0.5000  0.5000  6 N 2.28-2.31
Nb  0.5000  0.0000  0.5000  6 N 2.21-2.28
N  0.2419  0.0000  0.6953  1 Nb 2.21, 2 Np 2.31
N  0.2705  0.5000  0.3038  1 Np 2.28, 2 Nb 2.28

Properties
N(E_F): 0.858 states/eV/atom
raw formation energy: -760.3 kJ/mol of formula units

***

Entry 2:
Below is crystalline Np2TaNbN4 at its relaxed geometry, with properties calculated at the PBE level.

Lattice parameters (Å, degrees): 5.6478 3.2689 5.6983 90.00 109.28 90.00
Closest atoms and distances in Å follow each position.
Space group P2/m (No. 10)
Asymmetric unit:
Np  0.0000  0.0000  0.0000  6 N 2.38
Np  0.5000  0.5000  0.0000  6 N 2.41-2.42
Ta  0.0000  0.5000  0.5000  6 N 2.22
Nb  0.5000  0.0000  0.5000  6 N 2.26
N  0.2352  0.0000  0.7224  2 Ta 2.22, 1 Nb 2.26, 3 Np 2.38-2.42
N  0.2521  0.5000  0.2734  1 Ta 2.22, 2 Nb 2.26, 3 Np 2.38-2.41

Properties
N(E_F): 1.445 states/eV/atom
raw formation energy: -883.5 kJ/mol of formula units

***

Entry 3:
Below is crystalline Np3Ta3NbN8 at its relaxed geometry, with properties calculated at the PBE level.

Lattice parameters (Å, degrees): 6.3353 6.3353 16.2496 90.00 90.00 120.00
Closest atoms and distances in Å follow each position.
Space group R-3m (No. 166, hexagonal axes)
Asymmetric unit:
Np  0.0000  0.5000  0.0000  6 N 2.37-2.38
Ta  0.0000  0.5000  0.5000  6 N 2.18-2.19
Nb  0.0000  0.0000  0.5000  6 N 2.22
N  0.0000  0.0000  0.2397  3 Ta 2.18, 3 Np 2.38
N  0.0048  0.5024  0.7580  2 Ta 2.19, 1 Nb 2.22, 2 Np 2.37

Properties
N(E_F): 1.200 states/eV/atom
raw formation energy: -1628.9 kJ/mol of formula units

***

Entry 4:
Below is crystalline Np4TaNb3N8 at its relaxed geometry, with properties calculated at the PBE level.

Lattice parameters (Å, degrees): 6.5609 6.5609 15.9928 90.00 90.00 120.00
Closest atoms and distances in Å follow each position.
Space group R-3m (No. 166, hexagonal axes)
Asymmetric unit:
Np  0.0000  0.0000  0.0000  6 N 2.41
Np  0.0000  0.5000  0.0000  6 N 2.37
Ta  0.0000  0.0000  0.5000  6 N 2.22
Nb  0.0000  0.5000  0.5000  6 N 2.26-2.27
N  0.0000  0.0000  0.2443  3 Nb 2.26, 3 Np 2.37
N  0.0058  0.5029  0.2428  1 Ta 2.22, 2 Nb 2.27, 3 Np 2.37-2.41

Properties
N(E_F): 1.439 states/eV/atom
raw formation energy: -1765.2 kJ/mol of formula units

***

Entry 5:
Below is crystalline Np3Ta2NbN6 at its relaxed geometry, with properties calculated at the PBE level.

Lattice parameters (Å, degrees): 5.6324 9.7506 5.7305 90.00 109.09 90.00
Closest atoms and distances in Å follow each position.
Space group C2/m (No. 12)
Asymmetric unit:
Np  0.0000  0.0000  0.0000  6 N 2.39-2.42
Np  0.0000  0.3361  0.0000  6 N 2.39-2.42
Ta  0.0000  0.1674  0.5000  6 N 2.21-2.22
Nb  0.0000  0.5000  0.5000  6 N 2.25-2.26
N  0.2332  0.0000  0.7193  2 Ta 2.21, 1 Nb 2.25, 3 Np 2.39-2.41
N  0.2443  0.3303  0.7229  2 Ta 2.21-2.22, 1 Nb 2.26, 3 Np 2.39-2.42

Properties
N(E_F): 1.409 states/eV/atom
raw formation energy: -1329.3 kJ/mol of formula units

***

Entry 6:
Below is crystalline Np2TaNbN5 at its relaxed geometry, with properties calculated at the PBE level.

Lattice parameters (Å, degrees): 3.2912 13.2217 10.2948 90.00 90.00 90.00
Closest atoms and distances in Å follow each position.
Space group Cmc2_1 (No. 36)
Asymmetric unit:
Np  0.0000  0.1075  0.0000  4 N 2.27-2.49
Np  0.0000  0.1465  0.6045  6 N 2.37-2.57
Ta  0.0000  0.2152  0.3209  6 N 2.05-2.22
Nb  0.0000  0.4727  0.7746  4 N 2.01-2.12
N  0.0000  0.0571  0.3826  2 Nb 2.02, 1 Ta 2.18
N  0.0000  0.2767  0.9652  2 Ta 2.22, 3 Np 2.27-2.41
N  0.0000  0.3145  0.6857  2 Ta 2.19, 1 Nb 2.28, 1 Np 2.37
N  0.0000  0.3700  0.3130  1 Ta 2.05, 1 Nb 2.12
N  0.0000  0.4884  0.0859  1 Nb 2.01

Properties
N(E_F): 1.471 states/eV/atom
raw formation energy: -924.4 kJ/mol of formula units

***

Entry 7:
Below is crystalline Tb2NpNbN4 at its relaxed geometry, with properties calculated at the PBE level.

Lattice parameters (Å, degrees): 5.7870 3.3655 5.8668 90.00 108.81 90.00
Closest atoms and distances in Å follow each position.
Space group P2/m (No. 10)
Asymmetric unit:
Tb  0.0000  0.0000  0.0000  6 N 2.46-2.47
Tb  0.5000  0.5000  0.0000  6 N 2.44
Np  0.0000  0.5000  0.5000  6 N 2.30-2.34
Nb  0.5000  0.0000  0.5000  6 N 2.28-2.31
N  0.2490  0.0000  0.7312  1 Nb 2.28, 2 Np 2.34, 3 Tb 2.44-2.46
N  0.2597  0.5000  0.2745  1 Np 2.30, 2 Nb 2.31, 3 Tb 2.44-2.47

Properties
N(E_F): 0.900 states/eV/atom
raw formation energy: -1056.6 kJ/mol of formula units

***

Entry 8:
Below is crystalline TbNp2NbN4 at its relaxed geometry, with properties calculated at the PBE level.

Lattice parameters (Å, degrees): 5.7995 3.3729 5.8572 90.00 109.56 90.00
Closest atoms and distances in Å follow each position.
Space group P2/m (No. 10)
Asymmetric unit:
Tb  0.0000  0.0000  0.0000  6 N 2.42-2.43
Np  0.5000  0.0000  0.5000  6 N 2.33-2.34
Np  0.5000  0.5000  0.0000  6 N 2.44-2.45
Nb  0.0000  0.5000  0.5000  6 N 2.32
N  0.2423  0.0000  0.7336  2 Nb 2.32, 3 Np 2.34-2.44, 1 Tb 2.42
N  0.2533  0.5000  0.2666  1 Nb 2.32, 3 Np 2.33-2.45, 2 Tb 2.43

Properties
N(E_F): 1.523 states/eV/atom
raw formation energy: -952.5 kJ/mol of formula units

***

Entry 9:
Below is crystalline Tb3Np3NbN8 at its relaxed geometry, with properties calculated at the PBE level.

Lattice parameters (Å, degrees): 6.7799 6.7799 16.8411 90.00 90.00 120.00
Closest atoms and distances in Å follow each position.
Space group R-3m (No. 166, hexagonal axes)
Asymmetric unit:
Tb  0.0000  0.5000  0.0000  6 N 2.43-2.49
Np  0.0000  0.5000  0.5000  6 N 2.35-2.39
Nb  0.0000  0.0000  0.5000  6 N 2.18
N  0.0000  0.0000  0.2482  3 Np 2.39, 3 Tb 2.43
N  0.0217  0.5109  0.2374  1 Nb 2.18, 2 Np 2.35

Properties
N(E_F): 1.293 states/eV/atom
raw formation energy: -1809.2 kJ/mol of formula units

***

Entry 10:
Below is crystalline Np4TiNb3N8 at its relaxed geometry, with properties calculated at the PBE level.

Lattice parameters (Å, degrees): 6.5580 6.5580 15.8840 90.00 90.00 120.00
Closest atoms and distances in Å follow each position.
Space group R-3m (No. 166, hexagonal axes)
Asymmetric unit:
Np  0.0000  0.0000  0.0000  6 N 2.41
Np  0.0000  0.5000  0.0000  6 N 2.36
Ti  0.0000  0.0000  0.5000  6 N 2.21
Nb  0.0000  0.5000  0.5000  6 N 2.26
N  0.0000  0.0000  0.2442  3 Nb 2.26, 3 Np 2.36
N  0.0072  0.5036  0.2425  1 Ti 2.21, 2 Nb 2.26, 3 Np 2.36-2.41

Properties
N(E_F): 1.446 states/eV/atom
raw formation energy: -1830.0 kJ/mol of formula units

***

Entry 11:
Below is crystalline Np3TiNb2N6 at its relaxed geometry, with properties calculated at the PBE level.

Lattice parameters (Å, degrees): 5.6360 9.7565 5.6700 90.00 109.31 90.00
Closest atoms and distances in Å follow each position.
Space group C2/m (No. 12)
Asymmetric unit:
Np  0.0000  0.0000  0.0000  6 N 2.37-2.41
Np  0.0000  0.3319  0.0000  6 N 2.37-2.41
Ti  0.0000  0.5000  0.5000  6 N 2.19-2.20
Nb  0.0000  0.1663  0.5000  6 N 2.25-2.26
N  0.2372  0.3374  0.7247  1 Ti 2.19, 2 Nb 2.25, 3 Np 2.37-2.41
N  0.2491  0.5000  0.2722  1 Ti 2.20, 2 Nb 2.26, 3 Np 2.37-2.41

Properties
N(E_F): 1.410 states/eV/atom
raw formation energy: -1410.4 kJ/mol of formula units

***

> Which formula does entry 4 have?

Np4TaNb3N8

***

> Among the records above, which one has the lowest N(E_F)?

Sr2NpNbN4